A plane-wave DFT calculation with PBEsol was carried out for a relaxed MgCd2 crystal.

Values from the calculation:
Fermi-level density of states: 2.0 states/eV/cell
Calculated total energy: -8.27 eV per cell
ρ: 6.03 g cm⁻³

Cell: 3.1007 4.6254 9.9605 Å, 103.43 98.95 90.00°
Closest atoms and distances in Å follow each position.
Element x y z (fractional)
1 Mg 0.6125 0.8625 0.2250  2 Mg 3.10, 10 Cd 3.10-3.32
2 Mg 0.3875 0.1375 0.7750  2 Mg 3.10, 10 Cd 3.10-3.32
3 Cd 0.0407 0.2907 0.0814  5 Cd 2.79-3.10, 4 Mg 3.10
4 Cd 0.1876 0.4376 0.3752  5 Cd 2.81-3.10, 4 Mg 3.13
5 Cd 0.8124 0.5624 0.6248  5 Cd 2.81-3.10, 4 Mg 3.13
6 Cd 0.9593 0.7093 0.9186  5 Cd 2.79-3.10, 4 Mg 3.10

=====

A plane-wave DFT calculation with PBEsol was carried out for a relaxed CoB2Se crystal.

Values from the calculation:
Fermi-level density of states: 4.1 states/eV/cell
Calculated total energy: -46.88 eV per cell
Raw formation energy: 0.5449 eV/atom
ρ: 5.39 g cm⁻³

Cell: 4.7262 4.7262 5.5254 Å, 115.32 115.32 90.00°
Closest atoms and distances in Å follow each position.
Element x y z (fractional)
1 B 0.4037 0.8750 0.2500  2 Co 1.92, 2 Se 2.08
2 B 0.8463 0.3750 0.2500  2 Co 1.92, 2 Se 2.08
3 B 0.1250 0.1537 0.7500  2 Co 1.92, 2 Se 2.08
4 B 0.6250 0.5963 0.7500  2 Co 1.92, 2 Se 2.08
5 Co 0.7500 0.2500 0.5000  4 B 1.92
6 Co 0.5000 0.5000 0.0000  4 B 1.92
7 Se 0.2500 0.7500 0.5000  4 B 2.08
8 Se 0.0000 0.0000 0.0000  4 B 2.08

=====

A plane-wave DFT calculation with PBEsol was carried out for a relaxed LaCu2Pt crystal.

Values from the calculation:
Fermi-level density of states: 2.0 states/eV/cell
Calculated total energy: -21.88 eV per cell
Energy relative to the lowest polymorph listed for this composition: 232.6 meV per atom
ρ: 10.86 g cm⁻³

Cell: 3.3388 3.3388 6.3267 Å, 90.00 90.00 89.99°
Closest atoms and distances in Å follow each position.
Element x y z (fractional)
1 Cu 0.0000 0.0000 0.9877  4 Cu 2.60, 4 Pt 2.74
2 Cu 0.5000 0.5000 0.8163  1 Pt 2.47, 4 Cu 2.60
3 La 0.0000 0.0000 0.4898  4 Pt 2.97, 6 Cu 3.14-3.18
4 Pt 0.5000 0.5000 0.2062  5 Cu 2.47-2.74

=====

A plane-wave DFT calculation with PBEsol was carried out for a relaxed HfBe2Cl crystal.

Values from the calculation:
Fermi-level density of states: 3.8 states/eV/cell
Calculated total energy: -16.72 eV per cell
Raw formation energy: 0.9488 eV/atom
ρ: 6.28 g cm⁻³

Cell: 4.4264 4.4264 4.4264 Å, 60.00 60.00 60.00°
Closest atoms and distances in Å follow each position.
Element x y z (fractional)
1 Be 0.2500 0.2500 0.2500  4 Hf 2.71, 4 Cl 2.71
2 Be 0.7500 0.7500 0.7500  4 Hf 2.71, 4 Cl 2.71
3 Hf 0.5000 0.5000 0.5000  8 Be 2.71
4 Cl 0.0000 0.0000 0.0000  8 Be 2.71